VASP calculation (PBE) on a relaxed KRb2AuF6 crystal.

abc: 6.0897 6.0897 5.3320
angles: 103.35 103.35 63.19
Element x y z (fractional)
K 0.0000 0.0000 0.0000
Rb 0.2678 0.2678 0.7960
Rb 0.7322 0.7322 0.2040
Au 0.5000 0.5000 0.5000
F 0.2255 0.2255 0.2909
F 0.2322 0.6597 0.2331
F 0.3403 0.7678 0.7669
F 0.6597 0.2322 0.2331
F 0.7678 0.3403 0.7669
F 0.7745 0.7745 0.7091

crystal system = monoclinic
total DFT energy (no corrections) = -3.7107 eV/atom
symmetry = C2/m